(1)
# Fe2SbS, relaxed, DFT PBE
# Final energy = -0.437 Ry/atom
# Volume = 14.95 A^3/atom
# Density = 7.4 g/cm³
# Excess energy over the best structure of this formula in the dataset = 188.8 meV per atom
data_Fe2SbS
_chemical_formula_sum 'Fe8 Sb4 S4'
_symmetry_space_group_name_H-M 'F m -3 m'
_symmetry_Int_Tables_number 225
_symmetry_space_group_name_Hall '-F 4 2 3'
_cell_length_a 6.2077
_cell_length_b 6.2077
_cell_length_c 6.2077
_cell_angle_alpha 90.00
_cell_angle_beta 90.00
_cell_angle_gamma 90.00
loop_
_atom_site_label
_atom_site_type_symbol
_atom_site_fract_x
_atom_site_fract_y
_atom_site_fract_z
Fe1 Fe 0.2500 0.2500 0.2500
Sb1 Sb 0.0000 0.0000 0.0000
S1 S 0.0000 0.0000 0.5000



(2)
# Fe3SbS, relaxed, DFT PBE
# Final energy = -0.476 Ry/atom
# Volume = 15.27 A^3/atom
# Density = 7.0 g/cm³
# Excess energy over the best structure of this formula in the dataset = 0.0 meV per atom
data_Fe3SbS
_chemical_formula_sum 'Fe3 Sb1 S1'
_symmetry_space_group_name_H-M 'P m -3 m'
_symmetry_Int_Tables_number 221
_symmetry_space_group_name_Hall '-P 4 2 3'
_cell_length_a 4.2427
_cell_length_b 4.2427
_cell_length_c 4.2427
_cell_angle_alpha 90.00
_cell_angle_beta 90.00
_cell_angle_gamma 90.00
loop_
_atom_site_label
_atom_site_type_symbol
_atom_site_fract_x
_atom_site_fract_y
_atom_site_fract_z
Fe1 Fe 0.0000 0.0000 0.5000
Sb1 Sb 0.5000 0.5000 0.5000
S1 S 0.0000 0.0000 0.0000



(3)
# FeSb2S, relaxed, DFT PBE
# Final energy = -0.359 Ry/atom
# Volume = 26.62 A^3/atom
# Density = 5.2 g/cm³
data_FeSb2S
_chemical_formula_sum 'Fe4 Sb8 S4'
_symmetry_space_group_name_H-M 'I -4 2 d'
_symmetry_Int_Tables_number 122
_symmetry_space_group_name_Hall 'I -4 2bw'
_cell_length_a 5.9436
_cell_length_b 5.9436
_cell_length_c 12.0588
_cell_angle_alpha 90.00
_cell_angle_beta 90.00
_cell_angle_gamma 90.00
loop_
_atom_site_label
_atom_site_type_symbol
_atom_site_fract_x
_atom_site_fract_y
_atom_site_fract_z
Fe1 Fe 0.0000 0.0000 0.0000
Sb1 Sb 0.2070 0.2500 0.1250
S1 S 0.0000 0.0000 0.5000



- What is the formula in the second record?
  Fe3SbS



- The lowest density belongs to which entry?
  FeSb2S



- Which formula does entry 3 have?
  FeSb2S